1.
This record from the Alexandria database describes MnAl8Ir2 after structural relaxation. The functional is PBE.

Cell and atoms, written as POSCAR:
```
MnAl8Ir2
1.0
-1.996 -1.772 3.101
5.657 -4.777 0.912
0.481 6.667 1.420
Ir Al Mn
2 8 1
Direct
0.204 0.704 0.408
0.796 0.296 0.592
0.134 0.134 0.267
0.000 0.317 0.000
0.342 0.562 0.684
0.866 0.866 0.733
0.000 0.683 0.000
0.658 0.438 0.316
0.658 0.878 0.316
0.342 0.122 0.684
0.500 0.000 0.000
```

The value obtained for the calculated volume is 163.2 Å³ per cell. As for the formation energy: -535 meV per atom.

***

2.
This record from the Alexandria database describes MnAlIr2 after structural relaxation. The functional is PBE.

Cell and atoms, written as POSCAR:
```
MnAlIr2
1.0
-0.693 -0.095 -2.643
2.460 -0.952 0.721
-3.403 -7.902 1.176
Mn Ir Al
1 2 1
Direct
0.000 0.000 0.505
0.000 0.000 0.984
0.500 0.500 0.262
0.500 0.500 0.748
```

The value obtained for the calculated volume is 57.3 Å³ per cell. As for the formation energy: -20 meV per atom.

***

3.
This record from the Alexandria database describes MnAlIr2 after structural relaxation. The functional is PBE.

Cell and atoms, written as POSCAR:
```
MnAlIr2
1.0
-1.598 -0.085 2.404
3.860 0.005 2.567
-0.073 4.245 0.102
Ir Mn Al
2 1 1
Direct
0.000 0.000 0.000
0.500 0.500 0.000
0.500 0.000 0.500
0.000 0.500 0.500
```

The value obtained for the calculated volume is 56.9 Å³ per cell. As for the formation energy: -260 meV per atom.

***

4.
This record from the Alexandria database describes MnAl2Ir after structural relaxation. The functional is PBE.

Cell and atoms, written as POSCAR:
```
MnAl2Ir
1.0
-2.663 4.204 -4.694
4.412 -2.395 -4.647
-0.904 -1.007 -5.374
Mn Al Ir
2 4 2
Direct
0.500 0.500 0.000
0.250 0.750 0.500
0.875 0.888 0.750
0.112 0.625 0.250
0.638 0.125 0.250
0.375 0.362 0.750
0.750 0.250 0.500
0.000 0.000 0.000
```

The value obtained for the calculated volume is 126.5 Å³ per cell. As for the formation energy: 3 meV per atom.

***

5.
This record from the Alexandria database describes MnAlIr2 after structural relaxation. The functional is PBE.

Cell and atoms, written as POSCAR:
```
MnAlIr2
1.0
-1.315 -1.652 3.989
0.945 -3.081 3.160
2.721 2.568 2.995
Ir Mn Al
2 1 1
Direct
0.503 0.503 0.504
0.997 0.997 0.996
0.750 0.750 0.750
0.250 0.250 0.250
```

The value obtained for the calculated volume is 56.4 Å³ per cell. As for the formation energy: -387 meV per atom.

***

6.
This record from the Alexandria database describes MnAl5Ir6 after structural relaxation. The functional is PBE.

Cell and atoms, written as POSCAR:
```
MnAl5Ir6
1.0
4.061 -0.023 1.353
0.031 6.034 0.010
0.001 -0.011 6.767
Al Ir Mn
5 6 1
Direct
0.664 0.000 0.672
0.333 0.500 0.333
0.000 0.500 0.000
0.667 0.500 0.667
0.336 0.000 0.328
0.500 0.254 0.000
0.831 0.749 0.337
0.500 0.746 0.000
0.831 0.251 0.337
0.169 0.749 0.663
0.169 0.251 0.663
0.000 0.000 0.000
```

The value obtained for the calculated volume is 165.8 Å³ per cell. As for the formation energy: -837 meV per atom.

***

7.
This record from the Alexandria database describes MnAlIr2 after structural relaxation. The functional is PBE.

Cell and atoms, written as POSCAR:
```
MnAlIr2
1.0
3.821 0.000 0.000
0.000 2.804 0.019
0.000 2.764 5.296
Ir Al Mn
2 1 1
Direct
0.500 0.218 0.282
0.000 0.028 0.972
0.500 0.733 0.767
0.000 0.521 0.479
```

The value obtained for the calculated volume is 56.5 Å³ per cell. As for the formation energy: -379 meV per atom.

***

8.
This record from the Alexandria database describes MnAlIr4 after structural relaxation. The functional is PBE.

Cell and atoms, written as POSCAR:
```
MnAlIr4
1.0
-0.839 -4.833 1.594
-4.533 -2.275 -0.938
-0.298 -3.834 -3.437
Ir Mn Al
4 1 1
Direct
0.375 0.375 0.375
0.375 0.875 0.375
0.375 0.375 0.875
0.875 0.375 0.375
0.750 0.750 0.750
0.000 0.000 0.000
```

The value obtained for the calculated volume is 97.0 Å³ per cell. As for the formation energy: 154 meV per atom.

***

9.
This record from the Alexandria database describes Mn3AlIr after structural relaxation. The functional is PBE.

Cell and atoms, written as POSCAR:
```
Mn3AlIr
1.0
-1.855 4.447 0.206
-3.402 -1.560 3.042
2.872 1.024 3.737
Al Mn Ir
1 3 1
Direct
0.500 0.500 0.500
0.500 0.000 0.000
0.000 0.500 0.000
0.000 0.000 0.500
0.000 0.000 0.000
```

Its energy relative to the lowest polymorph listed for this composition is 0.00 eV/f.u. The value obtained for the calculated volume is 112.2 Å³ per cell. As for the formation energy: 965 meV per atom.

***

10.
This record from the Alexandria database describes MnAlMoIr after structural relaxation. The functional is PBE.

Cell and atoms, written as POSCAR:
```
MnAlMoIr
1.0
4.305 0.000 0.000
2.152 3.728 0.000
2.152 1.243 3.515
Al Mn Ir Mo
1 1 1 1
Direct
0.750 0.750 0.750
0.250 0.250 0.250
0.000 0.000 0.000
0.500 0.500 0.500
```

The value obtained for the calculated volume is 56.4 Å³ per cell. As for the formation energy: -320 meV per atom.